IrBr2: optimized geometry, GGA-PBE.

```
IrBr2
1.0
1.8079 -13.0328 0.0000
1.8079 13.0328 0.0000
0.0000 0.0000 3.2230
Ir Br
2 4
direct
0.1257 0.8743 0.7500
0.8743 0.1257 0.2500
0.3116 0.6884 0.2500
0.4294 0.5706 0.7500
0.5706 0.4294 0.2500
0.6884 0.3116 0.7500
```

Values from the calculation:
- Total magnetization: 0.001 μB/f.u.
- Formation energy without anion corrections: 1.68 eV/f.u.
- E_tot: -21.1 eV/cell